# GGA-PBEsol KCdFe2, optimized geometry
# - SG = C2/m
# - spin magnetization (Bohr magnetons per cell) = 5.1
# - final energy (eV per atom) = -3.9637
# - energy relative to the elements (eV/atom) = 1.101
data_KCdFe2
_cell_length_a 5.6570
_cell_length_b 5.6570
_cell_length_c 2.7010
_cell_angle_alpha 100.31
_cell_angle_beta 100.31
_cell_angle_gamma 118.30
_symmetry_space_group_name_H-M 'P 1'
_symmetry_Int_Tables_number 1
loop_
_symmetry_equiv_pos_as_xyz
'x,y,z'
loop_
_atom_site_label
_atom_site_type_symbol
_atom_site_fract_x
_atom_site_fract_y
_atom_site_fract_z
K1 K 0.0000 0.0000 0.0000
Cd1 Cd 0.5000 0.5000 0.0000
Fe1 Fe 0.0000 0.5000 0.5000
Fe2 Fe 0.5000 0.0000 0.5000